(1)
Density functional theory data (PBE) for crystalline LiFeW2 at its relaxed geometry.

Lattice parameters (Å, degrees): 2.635 2.635 9.136 90.00 90.00 110.11
Site moments in Bohr magnetons follow the coordinates.
Positions (direct):
Li: 0.500 0.500 0.750  0.01
W: 0.000 0.000 0.018  -0.07
W: 0.000 0.000 0.482  -0.07
Fe: 0.500 0.500 0.250  2.12

Computed properties:
total moment: 2.0 μB/f.u.
density of states at the Fermi level: 3.1 states/eV/f.u.
total energy: -34.9 eV per cell
excess energy over the best structure of this formula in the dataset: 0.060 eV/atom

(2)
Density functional theory data (PBE) for crystalline LiFeW2 at its relaxed geometry.

Lattice parameters (Å, degrees): 9.410 9.410 9.410 16.62 16.62 16.62
Site moments in Bohr magnetons follow the coordinates.
Positions (direct):
Fe: 0.250 0.250 0.250  0.68
Li: 0.750 0.750 0.750  0.00
W: 0.507 0.507 0.507  -0.11
W: 0.993 0.993 0.993  -0.11

Computed properties:
total moment: 0.4 μB/f.u.
density of states at the Fermi level: 3.6 states/eV/f.u.
total energy: -34.6 eV per cell
excess energy over the best structure of this formula in the dataset: 0.137 eV/atom

(3)
Density functional theory data (PBE) for crystalline LiFeW2 at its relaxed geometry.

Lattice parameters (Å, degrees): 5.099 5.067 2.612 80.31 79.77 117.22
Site moments in Bohr magnetons follow the coordinates.
Positions (direct):
W: 0.500 0.000 0.500  -0.12
W: 0.000 0.000 0.000  -0.12
Fe: 0.000 0.500 0.500  1.84
Li: 0.500 0.500 0.000  -0.02

Computed properties:
total moment: 1.5 μB/f.u.
density of states at the Fermi level: 3.2 states/eV/f.u.
total energy: -34.7 eV per cell
excess energy over the best structure of this formula in the dataset: 0.103 eV/atom

(4)
Density functional theory data (PBE) for crystalline Li4FeW at its relaxed geometry.

Lattice parameters (Å, degrees): 4.747 4.747 4.747 60.00 60.00 60.00
Site moments in Bohr magnetons follow the coordinates.
Positions (direct):
Fe: 0.000 0.000 0.000  2.11
W: 0.750 0.750 0.750  -1.05
Li: 0.374 0.374 0.878  -0.02
Li: 0.878 0.374 0.374  -0.02
Li: 0.374 0.878 0.374  -0.02
Li: 0.374 0.374 0.374  -0.02

Computed properties:
total moment: 0.6 μB/f.u.
density of states at the Fermi level: 4.1 states/eV/f.u.
total energy: -25.2 eV per cell

(5)
Density functional theory data (PBE) for crystalline LiFeW at its relaxed geometry.

Lattice parameters (Å, degrees): 4.186 4.186 2.558 90.00 90.00 120.00
Site moments in Bohr magnetons follow the coordinates.
Positions (direct):
W: 0.333 0.667 0.697  -0.22
Li: 0.667 0.333 0.293  -0.01
Fe: 0.000 0.000 0.010  1.47

Computed properties:
total moment: 1.2 μB/f.u.
density of states at the Fermi level: 2.1 states/eV/f.u.
total energy: -22.3 eV per cell
excess energy over the best structure of this formula in the dataset: 0.000 eV/atom

(6)
Density functional theory data (PBE) for crystalline LiFeW2 at its relaxed geometry.

Lattice parameters (Å, degrees): 4.614 4.614 4.964 84.89 84.89 32.67
Site moments in Bohr magnetons follow the coordinates.
Positions (direct):
W: 0.999 0.999 0.014  -0.02
W: 0.756 0.756 0.740  -0.06
Li: 0.246 0.246 0.252  -0.02
Fe: 0.499 0.499 0.493  1.96

Computed properties:
total moment: 1.8 μB/f.u.
density of states at the Fermi level: 2.6 states/eV/f.u.
total energy: -34.5 eV per cell
excess energy over the best structure of this formula in the dataset: 0.141 eV/atom

(7)
Density functional theory data (PBE) for crystalline LiFeW at its relaxed geometry.

Lattice parameters (Å, degrees): 3.957 3.957 3.957 60.00 60.00 60.00
Positions (direct):
Fe: 0.750 0.750 0.750
Li: 0.000 0.000 0.000
W: 0.500 0.500 0.500

Computed properties:
total moment: 0.0 μB/f.u.
density of states at the Fermi level: 4.1 states/eV/f.u.
total energy: -20.8 eV per cell
excess energy over the best structure of this formula in the dataset: 0.498 eV/atom

(8)
Density functional theory data (PBE) for crystalline LiFeW2 at its relaxed geometry.

Lattice parameters (Å, degrees): 4.324 4.324 4.324 60.00 60.00 60.00
Site moments in Bohr magnetons follow the coordinates.
Positions (direct):
W: 0.750 0.750 0.750  -0.19
W: 0.000 0.000 0.000  0.64
Fe: 0.500 0.500 0.500  2.14
Li: 0.250 0.250 0.250  -0.01

Computed properties:
total moment: 2.7 μB/f.u.
density of states at the Fermi level: 5.1 states/eV/f.u.
total energy: -34.4 eV per cell
excess energy over the best structure of this formula in the dataset: 0.187 eV/atom